#one
# SrPmI4 PBE-GGA optimized geometry
data_SrPmI4
_symmetry_space_group_name_H-M 'C 1 2/c 1'
_symmetry_Int_Tables_number 15
_symmetry_space_group_name_Hall '-C 2yc'
_cell_length_a 10.2150
_cell_length_b 15.0099
_cell_length_c 7.3661
_cell_angle_alpha 90.00
_cell_angle_beta 124.14
_cell_angle_gamma 90.00
loop_
_atom_site_label
_atom_site_fract_x
_atom_site_fract_y
_atom_site_fract_z
Sr1 0.0000 0.1354 0.2500
Pm1 0.0000 0.4977 0.2500
I1 0.1209 0.3246 0.5893
I2 0.2004 0.0616 0.7700
# Crystal system   monoclinic
# DOS(E_F)   0.98 states/eV/cell

=====

#two
# SrPmI4 PBE-GGA optimized geometry
data_SrPmI4
_symmetry_space_group_name_H-M 'P 1 2/m 1'
_symmetry_Int_Tables_number 10
_symmetry_space_group_name_Hall '-P 2y'
_cell_length_a 7.9569
_cell_length_b 4.3921
_cell_length_c 8.0415
_cell_angle_alpha 90.00
_cell_angle_beta 91.10
_cell_angle_gamma 90.00
loop_
_atom_site_label
_atom_site_fract_x
_atom_site_fract_y
_atom_site_fract_z
Sr1 0.0000 0.0000 0.0000
Pm1 0.0000 0.5000 0.5000
I1 0.2396 0.0000 0.6701
I2 0.2421 0.5000 0.1898
# Crystal system   monoclinic
# DOS(E_F)   3.48 states/eV/cell

=====

Ordering by calculated energy gives the sequence #one, #two, with the first entry being the most stable.

=====

#one
# TbPmI2 PBE-GGA optimized geometry
data_TbPmI2
_symmetry_space_group_name_H-M 'R -3 m'
_symmetry_Int_Tables_number 166
_symmetry_space_group_name_Hall '-R 3 2"'
_cell_length_a 3.8661
_cell_length_b 3.8661
_cell_length_c 32.4460
_cell_angle_alpha 90.00
_cell_angle_beta 90.00
_cell_angle_gamma 120.00
loop_
_atom_site_label
_atom_site_fract_x
_atom_site_fract_y
_atom_site_fract_z
Tb1 0.0000 0.0000 0.0000
Pm1 0.0000 0.0000 0.5000
I1 0.0000 0.0000 0.4013
# Crystal system   trigonal
# DOS(E_F)   12.63 states/eV/cell

=====

#two
# TbPmI2 PBE-GGA optimized geometry
data_TbPmI2
_symmetry_space_group_name_H-M 'R 3 m'
_symmetry_Int_Tables_number 160
_symmetry_space_group_name_Hall 'R 3 -2"'
_cell_length_a 3.8303
_cell_length_b 3.8303
_cell_length_c 29.0911
_cell_angle_alpha 90.00
_cell_angle_beta 90.00
_cell_angle_gamma 120.00
loop_
_atom_site_label
_atom_site_fract_x
_atom_site_fract_y
_atom_site_fract_z
Tb1 0.0000 0.0000 0.0000
Pm1 0.0000 0.0000 0.8372
I1 0.0000 0.0000 0.4177
I2 0.0000 0.0000 0.5860
# Crystal system   trigonal
# DOS(E_F)   4.93 states/eV/cell

=====

Ordering by calculated energy gives the sequence #two, #one, with the first entry being the most stable.

=====

#one
# TbPm2I6 PBE-GGA optimized geometry
data_TbPm2I6
_symmetry_space_group_name_H-M 'P -3 1 m'
_symmetry_Int_Tables_number 162
_symmetry_space_group_name_Hall '-P 3 2'
_cell_length_a 7.2605
_cell_length_b 7.2605
_cell_length_c 8.1623
_cell_angle_alpha 90.00
_cell_angle_beta 90.00
_cell_angle_gamma 120.00
loop_
_atom_site_label
_atom_site_fract_x
_atom_site_fract_y
_atom_site_fract_z
Tb1 0.0000 0.0000 0.0000
Pm1 0.3333 0.6667 0.0000
I1 0.0000 0.3268 0.2460
# Crystal system   trigonal
# DOS(E_F)   5.49 states/eV/cell

=====

#two
# TbPm2I6 PBE-GGA optimized geometry
data_TbPm2I6
_symmetry_space_group_name_H-M 'R 3'
_symmetry_Int_Tables_number 146
_symmetry_space_group_name_Hall 'R 3'
_cell_length_a 7.6550
_cell_length_b 7.6550
_cell_length_c 21.4433
_cell_angle_alpha 90.00
_cell_angle_beta 90.00
_cell_angle_gamma 120.00
loop_
_atom_site_label
_atom_site_fract_x
_atom_site_fract_y
_atom_site_fract_z
Tb1 0.0000 0.0000 0.0000
Pm1 0.0000 0.0000 0.1641
Pm2 0.0000 0.0000 0.3278
I1 0.0023 0.3194 0.7461
I2 0.0047 0.6562 0.2467
# Crystal system   trigonal
# DOS(E_F)   18.68 states/eV/cell

=====

Ordering by calculated energy gives the sequence #one, #two, with the first entry being the most stable.

=====

#one
# TbPmI4 PBE-GGA optimized geometry
data_TbPmI4
_symmetry_space_group_name_H-M 'I -4 m 2'
_symmetry_Int_Tables_number 119
_symmetry_space_group_name_Hall 'I -4 -2'
_cell_length_a 6.1774
_cell_length_b 6.1774
_cell_length_c 11.9924
_cell_angle_alpha 90.00
_cell_angle_beta 90.00
_cell_angle_gamma 90.00
loop_
_atom_site_label
_atom_site_fract_x
_atom_site_fract_y
_atom_site_fract_z
Tb1 0.0000 0.0000 0.0000
Pm1 0.0000 0.5000 0.7500
I1 0.0000 0.0000 0.2607
I2 0.0000 0.5000 0.0159
# Crystal system   tetragonal
# DOS(E_F)   6.04 states/eV/cell

=====

#two
# TbPmI4 PBE-GGA optimized geometry
data_TbPmI4
_symmetry_space_group_name_H-M 'P 1 2/m 1'
_symmetry_Int_Tables_number 10
_symmetry_space_group_name_Hall '-P 2y'
_cell_length_a 7.2425
_cell_length_b 4.1738
_cell_length_c 8.4208
_cell_angle_alpha 90.00
_cell_angle_beta 105.95
_cell_angle_gamma 90.00
loop_
_atom_site_label
_atom_site_fract_x
_atom_site_fract_y
_atom_site_fract_z
Tb1 0.0000 0.0000 0.0000
Pm1 0.5000 0.5000 0.0000
I1 0.2391 0.5000 0.2445
I2 0.2468 0.0000 0.7507
# Crystal system   monoclinic
# DOS(E_F)   3.40 states/eV/cell

=====

Ordering by calculated energy gives the sequence #two, #one, with the first entry being the most stable.

=====

#one
# Pm2TeI PBE-GGA optimized geometry
data_Pm2TeI
_symmetry_space_group_name_H-M 'P 4/m m m'
_symmetry_Int_Tables_number 123
_symmetry_space_group_name_Hall '-P 4 2'
_cell_length_a 3.8587
_cell_length_b 3.8587
_cell_length_c 7.7170
_cell_angle_alpha 90.00
_cell_angle_beta 90.00
_cell_angle_gamma 90.00
loop_
_atom_site_label
_atom_site_fract_x
_atom_site_fract_y
_atom_site_fract_z
Pm1 0.0000 0.0000 0.2377
Te1 0.5000 0.5000 0.0000
I1 0.5000 0.5000 0.5000
# Crystal system   tetragonal
# DOS(E_F)   3.09 states/eV/cell

=====

#two
# Pm2TeI PBE-GGA optimized geometry
data_Pm2TeI
_symmetry_space_group_name_H-M 'F m -3 m'
_symmetry_Int_Tables_number 225
_symmetry_space_group_name_Hall '-F 4 2 3'
_cell_length_a 7.7090
_cell_length_b 7.7090
_cell_length_c 7.7090
_cell_angle_alpha 90.00
_cell_angle_beta 90.00
_cell_angle_gamma 90.00
loop_
_atom_site_label
_atom_site_fract_x
_atom_site_fract_y
_atom_site_fract_z
Pm1 0.2500 0.2500 0.2500
Te1 0.0000 0.0000 0.0000
I1 0.0000 0.0000 0.5000
# Crystal system   cubic
# DOS(E_F)   11.48 states/eV/cell

=====

#three
# Pm2TeI PBE-GGA optimized geometry
data_Pm2TeI
_symmetry_space_group_name_H-M 'P 1 21/m 1'
_symmetry_Int_Tables_number 11
_symmetry_space_group_name_Hall '-P 2yb'
_cell_length_a 8.0536
_cell_length_b 4.2997
_cell_length_c 8.0730
_cell_angle_alpha 90.00
_cell_angle_beta 115.70
_cell_angle_gamma 90.00
loop_
_atom_site_label
_atom_site_fract_x
_atom_site_fract_y
_atom_site_fract_z
Pm1 0.2013 0.2500 0.0395
Pm2 0.2782 0.7500 0.4558
Te1 0.0350 0.7500 0.7251
I1 0.4723 0.2500 0.7827
# Crystal system   monoclinic
# DOS(E_F)   3.45 states/eV/cell

=====

Ordering by calculated energy gives the sequence #three, #two, #one, with the first entry being the most stable.

=====

#one
# PmTeI PBE-GGA optimized geometry
data_PmTeI
_symmetry_space_group_name_H-M 'C 1 2/m 1'
_symmetry_Int_Tables_number 12
_symmetry_space_group_name_Hall '-C 2y'
_cell_length_a 15.2669
_cell_length_b 4.5156
_cell_length_c 7.8839
_cell_angle_alpha 90.00
_cell_angle_beta 100.55
_cell_angle_gamma 90.00
loop_
_atom_site_label
_atom_site_fract_x
_atom_site_fract_y
_atom_site_fract_z
Pm1 0.2464 0.0000 0.2708
Te1 0.1305 0.5000 0.3743
I1 0.1319 0.0000 0.8777
# Crystal system   monoclinic
# DOS(E_F)   0.00 states/eV/cell

=====

#two
# PmTeI PBE-GGA optimized geometry
data_PmTeI
_symmetry_space_group_name_H-M 'F d d d'
_symmetry_Int_Tables_number 70
_cell_length_a 10.7659
_cell_length_b 11.8909
_cell_length_c 14.9972
_cell_angle_alpha 90.00
_cell_angle_beta 90.00
_cell_angle_gamma 90.00
loop_
_symmetry_equiv_pos_as_xyz
'x,y,z'
'-x,-y,-z'
'-x+1/4,-y+1/4,z'
'x+1/4,y+1/4,-z'
'x,-y+1/4,-z+1/4'
'-x,y+1/4,z+1/4'
'-x+1/4,y,-z+1/4'
'x+1/4,-y,z+1/4'
'x,y+1/2,z+1/2'
'-x,-y+1/2,-z+1/2'
'-x+1/4,-y+3/4,z+1/2'
'x+1/4,y+3/4,-z+1/2'
'x,-y+3/4,-z+3/4'
'-x,y+3/4,z+3/4'
'-x+1/4,y+1/2,-z+3/4'
'x+1/4,-y+1/2,z+3/4'
'x+1/2,y,z+1/2'
'-x+1/2,-y,-z+1/2'
'-x+3/4,-y+1/4,z+1/2'
'x+3/4,y+1/4,-z+1/2'
'x+1/2,-y+1/4,-z+3/4'
'-x+1/2,y+1/4,z+3/4'
'-x+3/4,y,-z+3/4'
'x+3/4,-y,z+3/4'
'x+1/2,y+1/2,z'
'-x+1/2,-y+1/2,-z'
'-x+3/4,-y+3/4,z'
'x+3/4,y+3/4,-z'
'x+1/2,-y+3/4,-z+1/4'
'-x+1/2,y+3/4,z+1/4'
'-x+3/4,y+1/2,-z+1/4'
'x+3/4,-y+1/2,z+1/4'
loop_
_atom_site_label
_atom_site_fract_x
_atom_site_fract_y
_atom_site_fract_z
Pm1 0.1250 0.3220 0.1250
Te1 0.1250 0.1250 0.2644
I1 0.0000 0.0000 0.5000
# Crystal system   orthorhombic
# DOS(E_F)   0.00 states/eV/cell

=====

#three
# PmTeI PBE-GGA optimized geometry
data_PmTeI
_symmetry_space_group_name_H-M 'F -4 3 m'
_symmetry_Int_Tables_number 216
_symmetry_space_group_name_Hall 'F -4 2 3'
_cell_length_a 7.6498
_cell_length_b 7.6498
_cell_length_c 7.6498
_cell_angle_alpha 90.00
_cell_angle_beta 90.00
_cell_angle_gamma 90.00
loop_
_atom_site_label
_atom_site_fract_x
_atom_site_fract_y
_atom_site_fract_z
Pm1 0.0000 0.0000 0.0000
Te1 0.2500 0.2500 0.2500
I1 0.2500 0.2500 0.7500
# Crystal system   cubic

=====

Ordering by calculated energy gives the sequence #one, #two, #three, with the first entry being the most stable.